No. 1
A crystal of NdMgPd relaxed with PBEsol, computed with meta-GGA SCAN.

Values from the calculation:
Energy relative to the elements ... -0.74 eV per atom

Unit cell a=4.058 b=7.552 c=7.552 alpha=120.00 beta=90.00 gamma=90.00
Atoms (fractional coordinates):
1 Mg 0.000 0.759 0.000
2 Mg 0.000 0.000 0.759
3 Mg 0.000 0.241 0.241
4 Pd 0.500 0.000 0.000
5 Pd 0.000 0.667 0.333
6 Pd 0.000 0.333 0.667
7 Nd 0.500 0.586 0.586
8 Nd 0.500 0.000 0.414
9 Nd 0.500 0.414 0.000



No. 2
A crystal of ScCo relaxed with PBEsol, computed with meta-GGA SCAN.

Values from the calculation:
Energy relative to the elements ... 0.37 eV per atom

Unit cell a=3.564 b=3.564 c=3.564 alpha=60.00 beta=60.00 gamma=60.00
Atoms (fractional coordinates):
1 Co 0.000 0.000 0.000
2 Sc 0.500 0.500 0.500



No. 3
A crystal of LaTc2Rh relaxed with PBEsol, computed with meta-GGA SCAN.

Values from the calculation:
Energy relative to the elements ... 0.04 eV per atom

Unit cell a=3.037 b=3.037 c=7.558 alpha=90.00 beta=89.99 gamma=90.00
Atoms (fractional coordinates):
1 Rh 0.500 0.500 0.796
2 Tc 0.500 0.500 0.191
3 Tc 0.000 0.000 0.013
4 La 0.000 0.000 0.500



No. 4
A crystal of KMg2Se relaxed with PBEsol, computed with meta-GGA SCAN.

Values from the calculation:
Formation energy (no corrections) ... -0.549 eV per atom

Unit cell a=3.673 b=3.673 c=7.891 alpha=90.00 beta=90.00 gamma=90.00
Atoms (fractional coordinates):
1 Se 0.000 0.000 0.428
2 K 0.500 0.500 0.719
3 Mg 0.000 0.000 0.061
4 Mg 0.500 0.500 0.292



| no. | final energy (eV/atom) |
| --- | --- |
| 1 | -27.8509 |
| 2 | -15.4034 |
| 3 | -36.7140 |
| 4 | -10.1379 |